First-principles (GGA+U) data for a geometry-optimized Y6MoO12 structure, as listed in the Alexandria database.

Cell lengths 5.9636, 6.1930, 9.2278 Å; angles 93.03, 103.34, 112.50 degrees
Closest atoms and distances in Å follow each position.
Space group P-1 (No. 2)
One atom of each set of equivalent atoms:
Y  0.0023  0.2439  0.4230 x2  6 O 2.18-2.35
Y  0.2436  0.5595  0.8910 x2  3 O 2.11-2.31
Y  0.3536  0.9249  0.3130 x2  6 O 2.12-2.36
Mo  0.0000  0.0000  0.0000 x1  6 O 1.90-2.02
O  0.0467  0.6017  0.3545 x2  4 Y 2.26-2.40
O  0.0985  0.1205  0.2092 x2  1 Mo 1.90
O  0.1397  0.7574  0.0584 x2  1 Mo 2.02, 1 Y 2.26
O  0.2942  0.0882  0.5194 x2  4 Y 2.27-2.34
O  0.3206  0.2462  0.9811 x2  1 Mo 1.99
O  0.3441  0.8140  0.7478 x2  3 Y 2.11-2.18

Summary:
Electronic total energy (eV/atom): -8.5994
Offset from the most stable computed form (eV/atom): 0.133